The following is a PBE calculation of an optimized crystal structure of LiSc3Pb, from the Alexandria database.

Cell: 4.929 4.929 4.929 Å, 90.00 90.00 90.00°
Space group Pm-3m (No. 221)
Asymmetric unit:
Li  0.000  0.000  0.000
Sc  0.000  0.000  0.500
Pb  0.500  0.500  0.500

Calculated formation energy = 280 meV/atom
Calculated volume = 120 Å³/cell
Mass density = 4.8 Mg/m³
E above lowest polymorph = 0.0 meV/atom